1.
Below is a geometry-optimized SmDy4Al structure, with properties calculated at the PBE level.

For the total magnetic moment, the calculation gives 0.00 μB per cell. For the offset from the most stable computed form, the calculation gives 79 meV per atom. Its calculated total energy is -0.33198 Ry/atom. The calculation puts the formation energy at -0.04 eV/atom.

Cell lengths 8.7663, 13.8491, 6.2276 Å; angles 90.00, 108.95, 90.00 degrees
Closest atoms and distances in Å follow each position.
Space group C2/c (No. 15)
Symmetry-distinct sites (fractional):
1 Sm 0.0000 0.0947 0.2500 x4  10 Dy 3.43-3.75
2 Dy 0.1001 0.3166 0.5463 x8  2 Al 3.08-3.10, 3 Dy 3.28-3.43
3 Dy 0.2212 0.1143 0.8740 x8  2 Al 3.20-3.21, 3 Dy 3.28-3.57, 2 Sm 3.43-3.50
4 Al 0.0000 0.4994 0.7500 x4  8 Dy 3.08-3.21, 2 Al 3.11


2.
Below is a geometry-optimized Sm6Dy12Al structure, with properties calculated at the PBE level.

For the total magnetic moment, the calculation gives 0.00 μB per cell. Its calculated total energy is -0.33110 Ry/atom. The calculation puts the formation energy at 0.09 eV/atom.

Cell lengths 11.8468, 11.8468, 14.9229 Å; angles 90.00, 90.00, 120.00 degrees
Closest atoms and distances in Å follow each position.
Space group R-3 (No. 148, hexagonal axes)
Symmetry-distinct sites (fractional):
1 Sm 0.0185 0.5918 0.1847 x18  7 Dy 3.33-3.66, 1 Al 3.39, 2 Sm 3.42
2 Dy 0.0020 0.8296 0.3145 x18  4 Sm 3.37-3.66, 1 Al 3.43, 4 Dy 3.46-3.63
3 Dy 0.0470 0.1952 0.9152 x18  6 Dy 3.28-3.63, 3 Sm 3.33-3.44
4 Al 0.0000 0.0000 0.5000 x3  6 Sm 3.39, 6 Dy 3.43


3.
Below is a geometry-optimized SmDy2Al6 structure, with properties calculated at the PBE level.

For the total magnetic moment, the calculation gives 0.00 μB per cell. For the offset from the most stable computed form, the calculation gives 0 meV per atom. Its calculated total energy is -0.33354 Ry/atom. The calculation puts the formation energy at -0.50 eV/atom.

Cell lengths 7.9258, 7.9258, 3.5216 Å; angles 90.00, 90.00, 120.00 degrees
Closest atoms and distances in Å follow each position.
Space group P6/mmm (No. 191)
Symmetry-distinct sites (fractional):
1 Sm 0.0000 0.0000 0.0000 x1  12 Al 3.18, 2 Sm 3.52
2 Dy 0.3333 0.6667 0.0000 x2  12 Al 3.17, 2 Dy 3.52
3 Al 0.0000 0.3346 0.5000 x6  3 Al 2.62-2.65


4.
Below is a geometry-optimized SmDy2Al6 structure, with properties calculated at the PBE level.

For the total magnetic moment, the calculation gives 0.00 μB per cell. For the offset from the most stable computed form, the calculation gives 242 meV per atom. Its calculated total energy is -0.31573 Ry/atom. The calculation puts the formation energy at -0.25 eV/atom.

Cell lengths 4.4000, 7.1800, 13.4981 Å; angles 90.00, 90.00, 90.00 degrees
Closest atoms and distances in Å follow each position.
Space group Immm (No. 71)
Symmetry-distinct sites (fractional):
1 Sm 0.0000 0.0000 0.0000 x2  4 Al 3.15
2 Dy 0.0000 0.5000 0.1242 x4  10 Al 2.93-3.21
3 Al 0.0000 0.1851 0.5000 x4  3 Al 2.65-2.66
4 Al 0.0000 0.3057 0.3148 x8  4 Al 2.65-2.92, 1 Dy 2.93